No. 1
Compound: TiCrTc2
Source: Alexandria
Functional: PBE
Structure: optimized geometry

CIF file:
```
data_TiCrTc2
_space_group_name_H-M_alt 'F m -3 m'
_space_group_IT_number 225
_space_group_name_Hall '-F 4 2 3'
_cell_length_a 6.0709
_cell_length_b 6.0709
_cell_length_c 6.0709
_cell_angle_alpha 90.00
_cell_angle_beta 90.00
_cell_angle_gamma 90.00
loop_
_atom_site_label
_atom_site_type_symbol
_atom_site_fract_x
_atom_site_fract_y
_atom_site_fract_z
Ti1 Ti 0.0000 0.0000 0.0000
Cr1 Cr 0.0000 0.0000 0.5000
Tc1 Tc 0.2500 0.2500 0.2500
```

crystal system: cubic
magnetic moment: 0.00 μB/atom
E_tot: -157.1 eV/cell

---

No. 2
Compound: Sr2DyPbO5
Source: Alexandria
Functional: PBE
Structure: optimized geometry

CIF file:
```
data_Sr2DyPbO5
_space_group_name_H-M_alt 'C m c 21'
_space_group_IT_number 36
_space_group_name_Hall 'C 2c -2'
_cell_length_a 3.5337
_cell_length_b 14.8172
_cell_length_c 11.8673
_cell_angle_alpha 90.00
_cell_angle_beta 90.00
_cell_angle_gamma 90.00
loop_
_atom_site_label
_atom_site_type_symbol
_atom_site_fract_x
_atom_site_fract_y
_atom_site_fract_z
Sr1 Sr 0.0000 0.1303 0.0000
Sr2 Sr 0.0000 0.1315 0.5176
Dy1 Dy 0.0000 0.2389 0.2760
Pb1 Pb 0.0000 0.4946 0.7506
O1 O 0.0000 0.0829 0.3060
O2 O 0.0000 0.2664 0.6493
O3 O 0.0000 0.2797 0.9074
O4 O 0.0000 0.3785 0.3472
O5 O 0.0000 0.4907 0.0643
```

crystal system: orthorhombic
magnetic moment: 0.00 μB/atom
E_form (uncorrected): -2.413 eV/atom

---

No. 3
Compound: LaTiMo2Os
Source: Alexandria
Functional: PBE
Structure: optimized geometry

CIF file:
```
data_LaTiMo2Os
_space_group_name_H-M_alt 'P 4/m m m'
_space_group_IT_number 123
_space_group_name_Hall '-P 4 2'
_cell_length_a 4.6776
_cell_length_b 4.6776
_cell_length_c 4.6114
_cell_angle_alpha 90.00
_cell_angle_beta 90.00
_cell_angle_gamma 90.00
loop_
_atom_site_label
_atom_site_type_symbol
_atom_site_fract_x
_atom_site_fract_y
_atom_site_fract_z
La1 La 0.0000 0.0000 0.0000
Ti1 Ti 0.0000 0.0000 0.5000
Mo1 Mo 0.0000 0.5000 0.0000
Os1 Os 0.5000 0.5000 0.5000
```

crystal system: tetragonal
magnetic moment: 0.00 μB/atom
E_tot: -34.5 eV/cell